First-principles (GGA-PBE) data for Ba2ErPtO4 after structural relaxation, as listed in Alexandria.

abc: 5.3085 6.8147 10.8409
angles: 84.53 75.83 67.08
Site moments in Bohr magnetons follow the coordinates.
Atoms (fractional coordinates):
Pt 0.5000 0.0000 0.0000  0.51
Pt 0.2500 0.5000 0.5000  0.51
O 0.9281 0.7484 0.9241  0.08
Ba 0.1887 0.0000 0.6225  0.00
Ba 0.8113 0.0000 0.3775  0.00
O 0.6006 0.2516 0.0759  0.08
O 0.6022 0.2484 0.5759  0.08
Ba 0.5613 0.5000 0.8775  0.00
Ba 0.9387 0.5000 0.1225  0.00
Er 0.7500 0.5000 0.5000  0.00
O 0.1478 0.2516 0.9241  0.08
O 0.8219 0.7516 0.5759  0.08
O 0.3235 0.7484 0.0759  0.08
Er 0.0000 0.0000 0.0000  0.00
O 0.1494 0.2484 0.4241  0.08
O 0.4265 0.7516 0.4241  0.08

Formation energy without anion corrections   -1.783 eV per atom
Symmetry   No. 70

First-principles (GGA-PBE) data for BaErPt2O8 after structural relaxation, as listed in Alexandria.

abc: 5.5926 5.5926 7.0037
angles: 90.00 90.00 120.00
Site moments in Bohr magnetons follow the coordinates.
Atoms (fractional coordinates):
O 0.6745 0.0564 0.8602  0.03
Pt 0.6667 0.3333 0.0453  0.17
O 0.6181 0.6745 0.1398  0.03
Pt 0.3333 0.6667 0.9547  0.17
O 0.3333 0.6667 0.6660  0.19
O 0.9436 0.6181 0.8602  0.03
O 0.6667 0.3333 0.3340  0.19
O 0.3255 0.9436 0.1398  0.03
O 0.0564 0.3819 0.1398  0.03
O 0.3819 0.3255 0.8602  0.03
Er 0.0000 0.0000 0.0000  0.02
Ba 0.0000 0.0000 0.5000  0.01

Formation energy without anion corrections   -0.941 eV per atom
Symmetry   No. 147

First-principles (GGA-PBE) data for BaErPuO6 after structural relaxation, as listed in Alexandria.

abc: 5.7960 5.7960 11.1376
angles: 90.00 90.00 120.00
Site moments in Bohr magnetons follow the coordinates.
Atoms (fractional coordinates):
O 0.3898 0.0294 0.1504  -0.06
O 0.6102 0.6395 0.6504  -0.06
Pu 0.6667 0.3333 0.2500  1.37
O 0.3605 0.3898 0.8496  -0.06
Er 0.3333 0.6667 0.2500  -0.01
O 0.3898 0.3605 0.3496  -0.06
O 0.0294 0.6395 0.8496  -0.06
O 0.0294 0.3898 0.6504  -0.06
O 0.6395 0.0294 0.3496  -0.06
Ba 0.0000 0.0000 0.5000  0.00
O 0.9706 0.6102 0.3496  -0.06
O 0.9706 0.3605 0.1504  -0.06
Ba 0.0000 0.0000 0.0000  0.00
O 0.6102 0.9706 0.8496  -0.06
O 0.6395 0.6102 0.1504  -0.06
Pu 0.3333 0.6667 0.7500  1.37
O 0.3605 0.9706 0.6504  -0.06
Er 0.6667 0.3333 0.7500  -0.01

Formation energy without anion corrections   -2.885 eV per atom
Symmetry   No. 163

First-principles (GGA-PBE) data for Ba4ErPu3O12 after structural relaxation, as listed in Alexandria.

abc: 7.5992 7.5992 7.5992
angles: 109.47 109.47 109.47
Site moments in Bohr magnetons follow the coordinates.
Atoms (fractional coordinates):
O 0.7500 0.2500 0.5000  -0.09
O 0.2500 0.5000 0.7500  -0.09
O 0.7452 0.0000 0.7452  -0.06
O 0.5000 0.2500 0.7500  -0.09
Pu 0.5000 0.5000 0.0000  3.87
O 0.0000 0.7452 0.7452  -0.06
Pu 0.5000 0.0000 0.5000  3.87
O 0.7500 0.5000 0.2500  -0.09
Ba 0.0000 0.0000 0.5000  0.02
O 0.0000 0.2548 0.2548  -0.06
Ba 0.5000 0.0000 0.0000  0.02
O 0.7452 0.7452 0.0000  -0.06
O 0.2548 0.0000 0.2548  -0.06
O 0.5000 0.7500 0.2500  -0.09
O 0.2500 0.7500 0.5000  -0.09
O 0.2548 0.2548 0.0000  -0.06
Ba 0.5000 0.5000 0.5000  0.02
Er 0.0000 0.0000 0.0000  -0.03
Pu 0.0000 0.5000 0.5000  3.87
Ba 0.0000 0.5000 0.0000  0.02

Formation energy without anion corrections   -3.023 eV per atom
Symmetry   No. 229

First-principles (GGA-PBE) data for BaErPu2O8 after structural relaxation, as listed in Alexandria.

abc: 5.5407 5.5407 6.6262
angles: 114.71 114.71 90.00
Site moments in Bohr magnetons follow the coordinates.
Atoms (fractional coordinates):
Pu 0.5000 0.5000 0.0000  3.47
Ba 0.7500 0.2500 0.5000  -0.02
O 0.3519 0.3993 0.2377  -0.18
Pu 0.2500 0.7500 0.5000  3.16
O 0.1615 0.1142 0.7625  -0.18
O 0.6007 0.1141 0.7623  -0.18
Er 0.0000 0.0000 0.0000  -0.01
O 0.3517 0.8385 0.2375  -0.18
O 0.8859 0.8384 0.2377  -0.18
O 0.1616 0.6481 0.7623  -0.18
O 0.8858 0.3990 0.2375  -0.18
O 0.6010 0.6483 0.7625  -0.18

Formation energy without anion corrections   -2.744 eV per atom
Symmetry   No. 119

First-principles (GGA-PBE) data for RbBaErO3 after structural relaxation, as listed in Alexandria.

abc: 5.9627 6.7053 7.2846
angles: 62.60 83.81 76.46
Atoms (fractional coordinates):
O 0.0254 0.2411 0.8800
O 0.2500 0.7760 0.4480
Ba 0.2500 0.2280 0.5440
O 0.4746 0.8789 0.8800
Er 0.2500 0.9441 0.1119
Rb 0.7500 0.4315 0.1371
Ba 0.7500 0.7720 0.4560
O 0.9746 0.7589 0.1200
Er 0.7500 0.0559 0.8881
O 0.7500 0.2240 0.5520
O 0.5254 0.1211 0.1200
Rb 0.2500 0.5685 0.8629

Formation energy without anion corrections   -2.486 eV per atom
Symmetry   No. 15

First-principles (GGA-PBE) data for BaEr2ReO8 after structural relaxation, as listed in Alexandria.

abc: 5.0451 4.8333 7.3120
angles: 89.77 89.93 90.40
Site moments in Bohr magnetons follow the coordinates.
Atoms (fractional coordinates):
O 0.8410 0.2159 0.1833  0.00
Ba 0.0000 0.0000 0.5000  0.00
Er 0.4996 0.4989 0.7668  0.00
Re 0.0000 0.0000 0.0000  0.00
O 0.3016 0.2518 0.0014  0.00
Er 0.5004 0.5011 0.2332  0.00
O 0.6984 0.7482 0.9986  0.00
O 0.5352 0.7305 0.4998  0.09
O 0.8446 0.2190 0.8155  0.00
O 0.1590 0.7841 0.8167  0.00
O 0.1554 0.7810 0.1845  0.00
O 0.4648 0.2695 0.5002  0.09

Formation energy without anion corrections   -2.464 eV per atom
Symmetry   No. 2

First-principles (GGA-PBE) data for BaErRe2O8 after structural relaxation, as listed in Alexandria.

abc: 5.9459 5.9459 7.5384
angles: 90.00 90.00 120.00
Site moments in Bohr magnetons follow the coordinates.
Atoms (fractional coordinates):
O 0.6726 0.8368 0.6929  0.06
O 0.8368 0.1641 0.3071  0.06
Ba 0.0000 0.0000 0.0000  0.01
O 0.1632 0.8359 0.6929  0.06
O 0.1641 0.3274 0.6929  0.06
O 0.6667 0.3333 0.9928  0.12
Er 0.0000 0.0000 0.5000  0.12
O 0.3274 0.1632 0.3071  0.06
O 0.3333 0.6667 0.0072  0.12
O 0.8359 0.6726 0.3071  0.06
Re 0.3333 0.6667 0.7686  0.97
Re 0.6667 0.3333 0.2314  0.97

Formation energy without anion corrections   -2.100 eV per atom
Symmetry   No. 164

First-principles (GGA-PBE) data for BaErReO6 after structural relaxation, as listed in Alexandria.

abc: 5.5896 5.5895 5.6298
angles: 90.00 90.00 60.00
Atoms (fractional coordinates):
O 0.0419 0.5981 0.6951
Ba 0.0000 0.0000 0.0000
O 0.0420 0.3600 0.3048
O 0.3600 0.0420 0.6951
O 0.3600 0.5980 0.3048
O 0.5980 0.3600 0.6951
Re 0.3333 0.3333 0.5000
Er 0.6666 0.6667 0.5000
O 0.5980 0.0420 0.3049

Formation energy without anion corrections   -2.504 eV per atom
Symmetry   No. 149

First-principles (GGA-PBE) data for Ba2ErRe3O12 after structural relaxation, as listed in Alexandria.

abc: 7.2150 7.2150 7.2150
angles: 61.65 61.65 61.65
Site moments in Bohr magnetons follow the coordinates.
Atoms (fractional coordinates):
O 0.1056 0.6201 0.1056  0.06
O 0.9175 0.2944 0.2944  0.01
O 0.6201 0.1056 0.1056  0.06
O 0.1056 0.1056 0.6201  0.06
Ba 0.3668 0.3668 0.3668  0.01
O 0.2944 0.2944 0.9175  0.01
Re 0.5000 0.0000 0.0000  0.49
O 0.7056 0.7056 0.0825  0.01
O 0.0825 0.7056 0.7056  0.01
Ba 0.6332 0.6332 0.6332  0.01
Re 0.0000 0.5000 0.0000  0.49
O 0.7056 0.0825 0.7056  0.01
O 0.3799 0.8944 0.8944  0.06
O 0.8944 0.8944 0.3799  0.06
Re 0.0000 0.0000 0.5000  0.49
O 0.2944 0.9175 0.2944  0.01
O 0.8944 0.3799 0.8944  0.06
Er 0.0000 0.0000 0.0000  0.04

Formation energy without anion corrections   -2.109 eV per atom
Symmetry   No. 166

First-principles (GGA-PBE) data for Ba4ErRh3O12 after structural relaxation, as listed in Alexandria.

abc: 7.1827 7.1827 7.1827
angles: 109.47 109.47 109.47
Site moments in Bohr magnetons follow the coordinates.
Atoms (fractional coordinates):
O 0.0000 0.7376 0.7376  0.12
O 0.5000 0.7500 0.2500  0.18
O 0.2624 0.2624 0.0000  0.12
Er 0.0000 0.0000 0.0000  -0.03
O 0.2500 0.7500 0.5000  0.18
O 0.0000 0.2624 0.2624  0.12
Ba 0.5000 0.5000 0.5000  0.01
O 0.7500 0.2500 0.5000  0.18
Rh 0.0000 0.5000 0.5000  1.00
Ba 0.5000 0.0000 0.0000  0.01
O 0.5000 0.2500 0.7500  0.18
Ba 0.0000 0.5000 0.0000  0.01
Rh 0.5000 0.5000 0.0000  1.00
Rh 0.5000 0.0000 0.5000  1.00
O 0.2500 0.5000 0.7500  0.18
O 0.7500 0.5000 0.2500  0.18
Ba 0.0000 0.0000 0.5000  0.01
O 0.7376 0.0000 0.7376  0.12
O 0.2624 0.0000 0.2624  0.12
O 0.7376 0.7376 0.0000  0.12

Formation energy without anion corrections   -1.890 eV per atom
Symmetry   No. 229

First-principles (GGA-PBE) data for Ba4ErRu3O12 after structural relaxation, as listed in Alexandria.

abc: 7.1735 7.1735 7.1735
angles: 109.47 109.47 109.47
Site moments in Bohr magnetons follow the coordinates.
Atoms (fractional coordinates):
O 0.2500 0.5000 0.7500  0.17
O 0.0000 0.7368 0.7368  0.14
O 0.2632 0.2632 0.0000  0.14
Ba 0.5000 0.0000 0.0000  0.01
O 0.5000 0.7500 0.2500  0.17
Ru 0.0000 0.5000 0.5000  1.71
Er 0.0000 0.0000 0.0000  -0.03
O 0.7368 0.7368 0.0000  0.14
O 0.2500 0.7500 0.5000  0.17
O 0.7500 0.5000 0.2500  0.17
Ru 0.5000 0.0000 0.5000  1.71
Ba 0.0000 0.5000 0.0000  0.01
Ru 0.5000 0.5000 0.0000  1.71
O 0.0000 0.2632 0.2632  0.14
O 0.5000 0.2500 0.7500  0.17
O 0.7500 0.2500 0.5000  0.17
O 0.2632 0.0000 0.2632  0.14
Ba 0.5000 0.5000 0.5000  0.01
O 0.7368 0.0000 0.7368  0.14
Ba 0.0000 0.0000 0.5000  0.01

Formation energy without anion corrections   -2.053 eV per atom
Offset from the most stable computed form   56 meV per atom
Symmetry   No. 229

So what do the calculations give for electronic total energy? Going down the list: -97.10, -69.53, -153.07, -175.21, -107.75, -74.49, -92.73, -96.25, -71.22, -143.22, -131.60, -140.65 eV/cell.
So what do the calculations give for total magnetization? Going down the list: 1.97, 1.04, 2.00, 11.00, 5.00, 0.00, 0.21, 3.01, 0.00, 2.09, 5.27, 7.66 μB per cell.